This record from the Alexandria database describes a relaxed structure of TbPaAl. The functional is GGA-PBE.

```
3
Lattice="3.019 0.000 0.000 0.000 5.161 0.000 0.000 -2.581 4.470" Properties=species:S:1:pos:R:3 pbc="T T T"
Pa 0.508 0.000 2.980
Tb 0.496 0.000 0.000
Al 2.016 2.581 1.490
```

Results
* SG: P3m1
* Fermi-level density of states: 1.632 states/eV per atom
* formation enthalpy at 0 K: 177 meV/atom
* energy above the lowest structure with this stoichiometry: 0.676 eV per formula unit

---

This record from the Alexandria database describes a relaxed structure of Tb2PaAl9. The functional is GGA-PBE.

```
12
Lattice="5.295 0.000 1.576 2.413 4.713 1.576 0.091 0.056 9.377" Properties=species:S:1:pos:R:3 pbc="T T T"
Tb 6.671 4.079 6.633
Tb 1.127 0.689 5.896
Pa 0.000 0.000 0.000
Al 5.129 3.137 2.131
Al 2.669 1.632 10.398
Al 3.899 2.384 6.264
Al 3.218 1.968 3.629
Al 5.910 1.968 4.430
Al 4.445 4.364 4.430
Al 4.580 2.800 8.899
Al 3.353 0.405 8.098
Al 1.888 2.800 8.098
```

Results
* SG: R-3m
* Fermi-level density of states: 0.760 states/eV per atom
* formation enthalpy at 0 K: -325 meV/atom

---

Question: Among the records above, which one has the highest Fermi-level density of states?
Answer: TbPaAl

---

Copy entry 2 word for word.
This record from the Alexandria database describes a relaxed structure of Tb2PaAl9. The functional is GGA-PBE.

```
12
Lattice="5.295 0.000 1.576 2.413 4.713 1.576 0.091 0.056 9.377" Properties=species:S:1:pos:R:3 pbc="T T T"
Tb 6.671 4.079 6.633
Tb 1.127 0.689 5.896
Pa 0.000 0.000 0.000
Al 5.129 3.137 2.131
Al 2.669 1.632 10.398
Al 3.899 2.384 6.264
Al 3.218 1.968 3.629
Al 5.910 1.968 4.430
Al 4.445 4.364 4.430
Al 4.580 2.800 8.899
Al 3.353 0.405 8.098
Al 1.888 2.800 8.098
```

Results
* SG: R-3m
* Fermi-level density of states: 0.760 states/eV per atom
* formation enthalpy at 0 K: -325 meV/atom

---

Question: What is the Fermi-level density of states in the first record?
Answer: 1.632 states/eV per atom

---

Question: Which of these has the lowest Fermi-level density of states?
Answer: Tb2PaAl9